(1)
{"formula": "KAsOF4", "functional": "GGA-PBEsol", "state": "optimized geometry", "lattice_angstrom": [[4.9387, 0.0000, 0.0000], [0.0000, 5.9910, 0.0000], [-2.0263, 0.0000, 13.2662]], "species": ["K", "K", "K", "K", "As", "As", "As", "As", "O", "O", "O", "O", "F", "F", "F", "F", "F", "F", "F", "F", "F", "F", "F", "F", "F", "F", "F", "F"], "fractional_positions": [[0.0904, 0.1317, 0.1532], [0.0904, 0.3683, 0.6532], [0.9096, 0.6317, 0.3468], [0.9096, 0.8683, 0.8468], [0.4736, 0.6182, 0.0833], [0.4736, 0.8818, 0.5833], [0.5264, 0.1182, 0.4167], [0.5264, 0.3818, 0.9167], [0.2945, 0.1059, 0.5091], [0.2945, 0.3941, 0.0091], [0.7055, 0.6059, 0.9909], [0.7055, 0.8941, 0.4909], [0.2319, 0.6121, 0.1688], [0.2319, 0.8879, 0.6688], [0.2710, 0.6625, 0.5194], [0.2710, 0.8375, 0.0194], [0.3284, 0.5760, 0.8325], [0.3284, 0.9240, 0.3325], [0.3360, 0.1689, 0.8449], [0.3360, 0.3311, 0.3449], [0.6640, 0.6689, 0.6551], [0.6640, 0.8311, 0.1551], [0.6716, 0.0760, 0.6675], [0.6716, 0.4240, 0.1675], [0.7290, 0.1625, 0.9806], [0.7290, 0.3375, 0.4806], [0.7681, 0.1121, 0.3312], [0.7681, 0.3879, 0.8312]], "n_ef_per_ev_cell": 0.0, "sg": "No. 14", "formation_energy_uncorrected_ev_per_atom": -2.2678}



(2)
{"formula": "KHfH2OF5", "functional": "GGA-PBEsol", "state": "optimized geometry", "lattice_angstrom": [[7.4699, 0.0000, 0.0000], [0.0000, 12.0836, 0.0000], [-1.3963, 0.0000, 10.8509]], "species": ["K", "K", "K", "K", "K", "K", "K", "K", "Hf", "Hf", "Hf", "Hf", "Hf", "Hf", "Hf", "Hf", "H", "H", "H", "H", "H", "H", "H", "H", "H", "H", "H", "H", "H", "H", "H", "H", "O", "O", "O", "O", "O", "O", "O", "O", "F", "F", "F", "F", "F", "F", "F", "F", "F", "F", "F", "F", "F", "F", "F", "F", "F", "F", "F", "F", "F", "F", "F", "F", "F", "F", "F", "F", "F", "F", "F", "F", "F", "F", "F", "F", "F", "F", "F", "F"], "fractional_positions": [[0.1989, 0.0405, 0.1442], [0.1989, 0.4595, 0.6442], [0.2918, 0.0239, 0.6222], [0.2918, 0.4761, 0.1222], [0.7082, 0.5239, 0.8778], [0.7082, 0.9761, 0.3778], [0.8011, 0.5405, 0.3558], [0.8011, 0.9595, 0.8558], [0.0201, 0.2349, 0.3780], [0.0201, 0.2651, 0.8780], [0.4666, 0.2410, 0.3893], [0.4666, 0.2590, 0.8893], [0.5334, 0.7410, 0.1107], [0.5334, 0.7590, 0.6107], [0.9799, 0.7349, 0.1220], [0.9799, 0.7651, 0.6220], [0.0820, 0.6538, 0.8521], [0.0820, 0.8462, 0.3521], [0.2562, 0.6578, 0.7737], [0.2562, 0.8422, 0.2737], [0.2577, 0.6464, 0.4679], [0.2577, 0.8536, 0.9679], [0.4233, 0.6495, 0.3817], [0.4233, 0.8505, 0.8817], [0.5767, 0.1495, 0.1183], [0.5767, 0.3505, 0.6183], [0.7423, 0.1464, 0.0321], [0.7423, 0.3536, 0.5321], [0.7438, 0.1578, 0.7263], [0.7438, 0.3422, 0.2263], [0.9180, 0.1538, 0.6479], [0.9180, 0.3462, 0.1479], [0.1222, 0.6577, 0.7676], [0.1222, 0.8423, 0.2676], [0.3914, 0.6474, 0.4682], [0.3914, 0.8526, 0.9682], [0.6086, 0.1474, 0.0318], [0.6086, 0.3526, 0.5318], [0.8778, 0.1577, 0.7324], [0.8778, 0.3423, 0.2324], [0.0057, 0.1409, 0.5286], [0.0057, 0.3591, 0.0286], [0.0522, 0.6333, 0.5212], [0.0522, 0.8667, 0.0212], [0.0594, 0.6150, 0.2408], [0.0594, 0.8850, 0.7408], [0.2144, 0.2039, 0.7722], [0.2144, 0.2961, 0.2722], [0.2458, 0.1246, 0.3829], [0.2458, 0.3754, 0.8829], [0.2561, 0.7167, 0.1137], [0.2561, 0.7833, 0.6137], [0.2704, 0.2017, 0.9930], [0.2704, 0.2983, 0.4930], [0.4586, 0.6283, 0.9825], [0.4593, 0.6300, 0.7116], [0.4593, 0.8700, 0.2116], [0.4586, 0.8717, 0.4825], [0.4899, 0.1427, 0.2420], [0.4899, 0.3573, 0.7420], [0.5101, 0.6427, 0.2580], [0.5101, 0.8573, 0.7580], [0.5414, 0.1283, 0.5175], [0.5407, 0.1300, 0.7884], [0.5407, 0.3700, 0.2884], [0.5414, 0.3717, 0.0175], [0.7296, 0.7017, 0.5070], [0.7296, 0.7983, 0.0070], [0.7439, 0.2167, 0.3863], [0.7439, 0.2833, 0.8863], [0.7542, 0.6246, 0.1171], [0.7542, 0.8754, 0.6171], [0.7856, 0.7039, 0.7278], [0.7856, 0.7961, 0.2278], [0.9406, 0.1150, 0.2592], [0.9406, 0.3850, 0.7592], [0.9478, 0.1333, 0.9788], [0.9478, 0.3667, 0.4788], [0.9943, 0.6409, 0.9714], [0.9943, 0.8591, 0.4714]], "n_ef_per_ev_cell": 0.0, "sg": "No. 14"}



(3)
{"formula": "BaCrAg2", "functional": "GGA-PBEsol", "state": "optimized geometry", "lattice_angstrom": [[-2.2449, 2.2449, 4.6280], [2.2449, -2.2449, 4.6280], [2.2449, 2.2449, -4.6280]], "species": ["Ba", "Cr", "Ag", "Ag"], "fractional_positions": [[0.0000, 0.0000, 0.0000], [0.7500, 0.2500, 0.5000], [0.2500, 0.7500, 0.5000], [0.5000, 0.5000, 0.0000]], "n_ef_per_ev_cell": 1.4, "sg": "No. 119"}



(4)
{"formula": "Pr", "functional": "GGA-PBEsol", "state": "optimized geometry", "lattice_angstrom": [[3.6339, 0.0000, 0.0000], [-1.8169, 3.1470, 0.0000], [0.0000, 0.0000, 5.9527]], "species": ["Pr", "Pr"], "fractional_positions": [[0.3333, 0.6667, 0.2500], [0.6667, 0.3333, 0.7500]], "n_ef_per_ev_cell": 3.2, "sg": "No. 194"}



(5)
{"formula": "TcP2Se", "functional": "GGA-PBEsol", "state": "optimized geometry", "lattice_angstrom": [[2.9753, 0.0000, 0.0000], [0.0000, 4.3636, 0.0000], [0.0000, 0.0000, 4.4490]], "species": ["Tc", "P", "P", "Se"], "fractional_positions": [[0.0000, 0.0000, 0.0000], [0.0000, 0.5000, 0.5000], [0.5000, 0.5000, 0.0000], [0.5000, 0.0000, 0.5000]], "n_ef_per_ev_cell": 3.3, "sg": "No. 47", "formation_energy_uncorrected_ev_per_atom": 0.4732}



(6)
{"formula": "Nb2AgBrCl", "functional": "GGA-PBEsol", "state": "optimized geometry", "lattice_angstrom": [[4.7727, 0.0000, 0.0000], [0.0000, 4.7727, 0.0000], [0.0000, 0.0000, 5.0001]], "species": ["Nb", "Nb", "Ag", "Br", "Cl"], "fractional_positions": [[0.0000, 0.5000, 0.0000], [0.5000, 0.0000, 0.0000], [0.0000, 0.0000, 0.5000], [0.0000, 0.0000, 0.0000], [0.5000, 0.5000, 0.5000]], "n_ef_per_ev_cell": 5.9, "sg": "No. 123", "formation_energy_uncorrected_ev_per_atom": 1.3285}



(7)
{"formula": "YTl2Zn", "functional": "GGA-PBEsol", "state": "optimized geometry", "lattice_angstrom": [[4.5202, 0.0000, 0.0000], [0.0000, 4.5202, 0.0000], [0.0000, 0.0000, 4.4435]], "species": ["Y", "Tl", "Tl", "Zn"], "fractional_positions": [[0.0000, 0.0000, 0.0000], [0.0000, 0.5000, 0.5000], [0.5000, 0.0000, 0.5000], [0.5000, 0.5000, 0.0000]], "n_ef_per_ev_cell": 1.5, "sg": "No. 123"}



(8)
{"formula": "ZrRuAu2", "functional": "GGA-PBEsol", "state": "optimized geometry", "lattice_angstrom": [[3.5521, 0.0000, 0.0000], [0.0000, 3.5521, 0.0000], [0.0000, 0.0000, 5.4298]], "species": ["Zr", "Ru", "Au", "Au"], "fractional_positions": [[0.0000, 0.0000, 0.0000], [0.0000, 0.0000, 0.5000], [0.5000, 0.5000, 0.2536], [0.5000, 0.5000, 0.7464]], "n_ef_per_ev_cell": 3.0, "sg": "No. 123"}



(9)
{"formula": "Cu2AsPt", "functional": "GGA-PBEsol", "state": "optimized geometry", "lattice_angstrom": [[0.0000, 3.0162, 3.0162], [3.0162, 0.0000, 3.0162], [3.0162, 3.0162, 0.0000]], "species": ["Cu", "Cu", "As", "Pt"], "fractional_positions": [[0.0000, 0.0000, 0.0000], [0.2500, 0.2500, 0.2500], [0.7500, 0.7500, 0.7500], [0.5000, 0.5000, 0.5000]], "n_ef_per_ev_cell": 1.0, "sg": "No. 216"}



(10)
{"formula": "Tl5SnF9", "functional": "GGA-PBEsol", "state": "optimized geometry", "lattice_angstrom": [[7.9521, 0.0000, 0.0000], [0.0000, 10.9369, 0.0000], [0.0000, 0.0000, 6.7043]], "species": ["Tl", "Tl", "Tl", "Tl", "Tl", "Tl", "Tl", "Tl", "Tl", "Tl", "Sn", "Sn", "F", "F", "F", "F", "F", "F", "F", "F", "F", "F", "F", "F", "F", "F", "F", "F", "F", "F"], "fractional_positions": [[0.0000, 0.2279, 0.0000], [0.0000, 0.7721, 0.5000], [0.2279, 0.0850, 0.5132], [0.2278, 0.4254, 0.6082], [0.2278, 0.5746, 0.1082], [0.2279, 0.9150, 0.0132], [0.7721, 0.0850, 0.5132], [0.7722, 0.4254, 0.6082], [0.7722, 0.5746, 0.1082], [0.7721, 0.9150, 0.0132], [0.5000, 0.2507, 0.0637], [0.5000, 0.7493, 0.5637], [0.0000, 0.0049, 0.2628], [0.0000, 0.2515, 0.5987], [0.0000, 0.4637, 0.8990], [0.0000, 0.5363, 0.3990], [0.0000, 0.7485, 0.0987], [0.0000, 0.9951, 0.7628], [0.3168, 0.3035, 0.2480], [0.3168, 0.6965, 0.7480], [0.3227, 0.1968, 0.8710], [0.3227, 0.8032, 0.3710], [0.5000, 0.0862, 0.1884], [0.5000, 0.4147, 0.9360], [0.5000, 0.5853, 0.4360], [0.5000, 0.9138, 0.6884], [0.6773, 0.1968, 0.8710], [0.6773, 0.8032, 0.3710], [0.6832, 0.3035, 0.2480], [0.6832, 0.6965, 0.7480]], "n_ef_per_ev_cell": 0.0, "sg": "No. 26", "formation_energy_uncorrected_ev_per_atom": -2.0151}



(11)
{"formula": "Ga2Te4O11", "functional": "GGA-PBEsol", "state": "optimized geometry", "lattice_angstrom": [[5.0539, 0.0000, 0.0000], [-2.1645, 6.1108, 0.0000], [-0.0391, -2.4361, 7.6797]], "species": ["Ga", "Ga", "Te", "Te", "Te", "Te", "O", "O", "O", "O", "O", "O", "O", "O", "O", "O", "O"], "fractional_positions": [[0.0000, 0.0000, 0.0000], [0.3329, 0.6283, 0.6494], [0.0721, 0.0512, 0.6160], [0.3008, 0.6461, 0.2138], [0.6096, 0.2416, 0.2978], [0.7528, 0.4669, 0.8449], [0.0819, 0.7280, 0.9832], [0.2874, 0.9400, 0.3470], [0.2884, 0.9177, 0.7124], [0.3520, 0.2242, 0.1172], [0.3928, 0.3158, 0.6277], [0.4283, 0.5936, 0.4215], [0.6570, 0.7240, 0.8123], [0.7488, 0.0071, 0.1697], [0.9051, 0.4830, 0.2084], [0.9530, 0.4340, 0.6429], [0.9910, 0.1806, 0.8527]], "n_ef_per_ev_cell": 0.0, "sg": "No. 1", "formation_energy_uncorrected_ev_per_atom": -1.2798}



(12)
{"formula": "MnZnP2O7", "functional": "GGA-PBEsol", "state": "optimized geometry", "lattice_angstrom": [[5.3411, 0.0000, 0.0000], [1.9362, 6.1856, 0.0000], [0.6667, 1.0632, 7.3307]], "species": ["Mn", "Mn", "Zn", "Zn", "P", "P", "P", "P", "O", "O", "O", "O", "O", "O", "O", "O", "O", "O", "O", "O", "O", "O"], "fractional_positions": [[0.2000, 0.3445, 0.3408], [0.8000, 0.6555, 0.6592], [0.1822, 0.8471, 0.8512], [0.8178, 0.1529, 0.1488], [0.2804, 0.3109, 0.8962], [0.2854, 0.8149, 0.4136], [0.7146, 0.1851, 0.5864], [0.7196, 0.6891, 0.1038], [0.1135, 0.1507, 0.9238], [0.1172, 0.5474, 0.8363], [0.1280, 0.0436, 0.3297], [0.1343, 0.6460, 0.4278], [0.4071, 0.8122, 0.5939], [0.4445, 0.2884, 0.0601], [0.4652, 0.2535, 0.7208], [0.5348, 0.7465, 0.2792], [0.5555, 0.7116, 0.9399], [0.5929, 0.1878, 0.4061], [0.8657, 0.3540, 0.5722], [0.8720, 0.9564, 0.6703], [0.8828, 0.4526, 0.1637], [0.8865, 0.8493, 0.0762]], "n_ef_per_ev_cell": 0.0, "sg": "No. 2", "formation_energy_uncorrected_ev_per_atom": -1.9621}



(13)
{"formula": "K3CrPb", "functional": "GGA-PBEsol", "state": "optimized geometry", "lattice_angstrom": [[6.6852, 0.0000, 0.0000], [0.0000, 6.6852, 0.0000], [0.0000, 0.0000, 6.6852]], "species": ["K", "K", "K", "Cr", "Pb"], "fractional_positions": [[0.0000, 0.0000, 0.5000], [0.0000, 0.5000, 0.0000], [0.5000, 0.0000, 0.0000], [0.5000, 0.5000, 0.5000], [0.0000, 0.0000, 0.0000]], "n_ef_per_ev_cell": 3.7, "sg": "No. 221"}



(14)
{"formula": "TcSbOs2", "functional": "GGA-PBEsol", "state": "optimized geometry", "lattice_angstrom": [[4.6036, 0.0000, 0.0000], [0.0000, 4.6036, 0.0000], [0.0000, 0.0000, 2.9290]], "species": ["Tc", "Sb", "Os", "Os"], "fractional_positions": [[0.0000, 0.0000, 0.0000], [0.5000, 0.5000, 0.0000], [0.0000, 0.5000, 0.5000], [0.5000, 0.0000, 0.5000]], "n_ef_per_ev_cell": 5.7, "sg": "No. 123", "formation_energy_uncorrected_ev_per_atom": 0.6780}



(15)
{"formula": "CrInOF2", "functional": "GGA-PBEsol", "state": "optimized geometry", "lattice_angstrom": [[4.2306, 0.0000, 0.0000], [0.0000, 4.2306, 0.0000], [0.0000, 0.0000, 3.6681]], "species": ["Cr", "In", "O", "F", "F"], "fractional_positions": [[0.0000, 0.0000, 0.0000], [0.5000, 0.5000, 0.5000], [0.0000, 0.0000, 0.5000], [0.0000, 0.5000, 0.0000], [0.5000, 0.0000, 0.0000]], "n_ef_per_ev_cell": 1.3, "sg": "No. 123", "formation_energy_uncorrected_ev_per_atom": -1.7607}



(16)
{"formula": "InSiAs", "functional": "GGA-PBEsol", "state": "optimized geometry", "lattice_angstrom": [[5.0354, 0.0000, 0.0000], [-2.5177, 4.3608, 0.0000], [0.0000, 0.0000, 2.7259]], "species": ["In", "Si", "As"], "fractional_positions": [[0.0000, 0.0000, 0.0000], [0.6667, 0.3333, 0.0000], [0.3333, 0.6667, 0.0000]], "n_ef_per_ev_cell": 1.4, "sg": "No. 187", "formation_energy_uncorrected_ev_per_atom": 0.3014}



(17)
{"formula": "BaFe2Ir", "functional": "GGA-PBEsol", "state": "optimized geometry", "lattice_angstrom": [[2.0957, 1.2099, 5.5823], [-2.0957, 1.2099, 5.5823], [0.0000, -2.4199, 5.5823]], "species": ["Ba", "Fe", "Fe", "Ir"], "fractional_positions": [[0.0000, 0.0000, 0.0000], [0.1856, 0.1856, 0.1856], [0.8144, 0.8144, 0.8144], [0.5000, 0.5000, 0.5000]], "n_ef_per_ev_cell": 5.0, "sg": "No. 166"}



(18)
{"formula": "In2CuTc", "functional": "GGA-PBEsol", "state": "optimized geometry", "lattice_angstrom": [[-1.6703, 2.1354, 4.6577], [1.6703, -2.1354, 4.6577], [1.6703, 2.1354, -4.6577]], "species": ["In", "In", "Cu", "Tc"], "fractional_positions": [[0.0000, 0.0000, 0.0000], [0.7269, 0.2269, 0.5000], [0.4834, 0.4834, 0.0000], [0.2601, 0.7601, 0.5000]], "n_ef_per_ev_cell": 3.0, "sg": "No. 44"}



(19)
{"formula": "Ti2CuP2O10", "functional": "GGA-PBEsol", "state": "optimized geometry", "lattice_angstrom": [[7.0284, 0.0000, 0.0000], [0.0000, 7.8953, 0.0000], [-3.5116, 0.0000, 6.3489]], "species": ["Ti", "Ti", "Ti", "Ti", "Cu", "Cu", "P", "P", "P", "P", "O", "O", "O", "O", "O", "O", "O", "O", "O", "O", "O", "O", "O", "O", "O", "O", "O", "O", "O", "O"], "fractional_positions": [[0.2394, 0.2200, 0.0352], [0.2394, 0.2800, 0.5352], [0.7606, 0.7200, 0.4648], [0.7606, 0.7800, 0.9648], [0.5000, 0.0000, 0.5000], [0.5000, 0.5000, 0.0000], [0.2492, 0.5962, 0.2479], [0.2492, 0.9038, 0.7479], [0.7508, 0.0962, 0.2521], [0.7508, 0.4038, 0.7521], [0.0563, 0.7050, 0.0951], [0.0563, 0.7950, 0.5951], [0.1858, 0.0118, 0.8862], [0.1858, 0.4882, 0.3862], [0.2779, 0.1488, 0.2811], [0.2779, 0.3512, 0.7811], [0.3179, 0.0306, 0.6254], [0.3179, 0.4694, 0.1254], [0.4425, 0.7115, 0.3784], [0.4425, 0.7885, 0.8784], [0.5575, 0.2115, 0.1216], [0.5575, 0.2885, 0.6216], [0.6821, 0.5306, 0.8746], [0.6821, 0.9694, 0.3746], [0.7221, 0.6488, 0.2189], [0.7221, 0.8512, 0.7189], [0.8142, 0.5118, 0.6138], [0.8142, 0.9882, 0.1138], [0.9437, 0.2050, 0.4049], [0.9437, 0.2950, 0.9049]], "sg": "No. 14", "formation_energy_uncorrected_ev_per_atom": -2.3462}



We obtain E_tot values of -5.01; -6.18; -4.23; -5.15; -6.20; -4.44; -3.69; -6.94; -5.21; -4.33; -5.90; -7.39; -2.66; -9.39; -6.23; -4.31; -7.26; -5.17; -8.02 eV/atom for the records listed above, in that order.